ReAu2Se: PBEsol geometry, SCAN.

Cell and atoms, written as extended XYZ:
```
4
Lattice="-0.085 3.276 -1.951 -0.316 -1.951 -3.261 -4.410 -0.554 2.988" Properties=species:S:1:pos:R:3 pbc="T T T"
Au -2.463 -0.922 -1.440
Au -2.348 1.692 -0.785
Re -0.200 0.662 -2.606
Se 0.000 0.000 0.000
```

crystal system: tetragonal
raw formation energy: 0.95 eV per atom
total DFT energy (no corrections): -225.69 eV/f.u.